Record 1
The following is a DFT calculation (PBE) of crystalline LaPm4NdHo2 at its relaxed geometry.

Computed properties:
* formation energy from the elements: 14 kJ/mol of formula units
* symmetry: No. 10

```
LaPm4NdHo2
1.0
6.266 0.000 0.000
0.000 3.645 0.000
-2.124 0.000 11.915
La Pm Nd Ho
1 4 1 2
Direct
0.000 0.000 0.000 La
0.251 0.000 0.750 Pm
0.252 0.500 0.253 Pm
0.748 0.500 0.747 Pm
0.749 0.000 0.250 Pm
0.000 0.500 0.500 Nd
0.500 0.000 0.500 Ho
0.500 0.500 0.000 Ho
```


Record 2
The following is a DFT calculation (PBE) of crystalline Cu2RuBr at its relaxed geometry.

Computed properties:
* symmetry: No. 71
* energy relative to the lowest polymorph listed for this composition: 235.5 meV/atom

```
Cu2RuBr
1.0
-1.483 2.224 4.538
1.483 -2.224 4.538
1.483 2.224 -4.538
Cu Ru Br
2 1 1
Direct
0.247 0.247 0.000 Cu
0.753 0.753 0.000 Cu
0.000 0.500 0.500 Ru
0.500 0.000 0.500 Br
```


Record 3
The following is a DFT calculation (PBE) of crystalline La2BTeCl at its relaxed geometry.

Computed properties:
* symmetry: No. 123

```
La2BTeCl
1.0
5.991 0.000 0.000
0.000 5.991 0.000
0.000 0.000 4.372
La B Te Cl
2 1 1 1
Direct
0.000 0.500 0.000 La
0.500 0.000 0.000 La
0.000 0.000 0.500 B
0.000 0.000 0.000 Te
0.500 0.500 0.500 Cl
```


Record 4
The following is a DFT calculation (PBE) of crystalline TaReTc2 at its relaxed geometry.

Computed properties:
* formation energy from the elements: 27 kJ/mol of formula units
* symmetry: No. 65
* energy relative to the lowest polymorph listed for this composition: 148.1 meV/atom

```
TaReTc2
1.0
1.576 -2.260 0.000
1.576 2.260 0.000
0.000 0.000 8.751
Ta Re Tc
1 1 2
Direct
0.000 0.000 0.000 Ta
0.000 0.000 0.500 Re
0.500 0.500 0.253 Tc
0.500 0.500 0.747 Tc
```


Record 5
The following is a DFT calculation (PBE) of crystalline MgTlW2 at its relaxed geometry.

Computed properties:
* formation energy from the elements: 311 kJ/mol of formula units
* symmetry: No. 47
* energy relative to the lowest polymorph listed for this composition: 340.7 meV/atom

```
MgTlW2
1.0
2.818 0.000 0.000
0.000 4.633 0.000
0.000 0.000 5.630
Mg Tl W
1 1 2
Direct
0.000 0.000 0.000 Mg
0.000 0.000 0.500 Tl
0.500 0.500 0.228 W
0.500 0.500 0.772 W
```


Record 6
The following is a DFT calculation (PBE) of crystalline Ce4P3S at its relaxed geometry.

Computed properties:
* symmetry: No. 65

```
Ce4P3S
1.0
4.077 -5.766 0.000
4.077 5.766 0.000
0.000 0.000 4.080
Ce P S
4 3 1
Direct
0.249 0.249 0.500 Ce
0.249 0.751 0.000 Ce
0.751 0.249 0.000 Ce
0.751 0.751 0.500 Ce
0.000 0.000 0.000 P
0.000 0.500 0.500 P
0.500 0.000 0.500 P
0.500 0.500 0.000 S
```


Number 1: DOS(E_F) 12.0 states/eV/cell, total moment 0.00 μB per cell, E -4.71 eV/atom. Number 2: DOS(E_F) 3.8 states/eV/cell, total moment 0.12 μB per cell, E -4.10 eV/atom. Number 3: DOS(E_F) 4.0 states/eV/cell, total moment 0.00 μB per cell, E -4.29 eV/atom. Number 4: DOS(E_F) 4.8 states/eV/cell, total moment 0.00 μB per cell, E -11.19 eV/atom. Number 5: DOS(E_F) 3.0 states/eV/cell, total moment 0.00 μB per cell, E -6.66 eV/atom. Number 6: DOS(E_F) 17.8 states/eV/cell, total moment 2.60 μB per cell, E -7.16 eV/atom.